No. 1
The following is a GGA-PBEsol calculation of a relaxed SrYRu2 crystal, from Alexandria via LeMat-Bulk.

Results
Total DFT energy (no corrections) = -6.8209 eV per atom
SG = P4/mmm
DOS(E_F) = 6.09 states/eV/cell

a = 3.3926 Å, b = 4.8547 Å, c = 4.8547 Å
α = 90.00°, β = 90.00°, γ = 90.00°
Element x y z (fractional)
Ru 0.0000 0.0000 0.5000
Ru 0.0000 0.5000 0.0000
Sr 0.5000 0.5000 0.5000
Y 0.5000 0.0000 0.0000

No. 2
The following is a GGA-PBEsol calculation of a relaxed SrYRu2 crystal, from Alexandria via LeMat-Bulk.

Results
Total DFT energy (no corrections) = -6.8047 eV per atom
SG = C2/m
DOS(E_F) = 2.77 states/eV/cell

a = 3.2176 Å, b = 4.6365 Å, c = 6.4376 Å
α = 98.75°, β = 90.00°, γ = 110.30°
Element x y z (fractional)
Ru 0.7554 0.5109 0.8269
Ru 0.2446 0.4891 0.1731
Sr 0.0000 0.0000 0.5000
Y 0.5000 0.0000 0.0000

No. 3
The following is a GGA-PBEsol calculation of a relaxed SrZn3Ru crystal, from Alexandria via LeMat-Bulk.

Results
Total DFT energy (no corrections) = -3.3838 eV per atom
SG = Pm-3m
DOS(E_F) = 1.93 states/eV/cell

a = 4.7670 Å, b = 4.7670 Å, c = 4.7670 Å
α = 90.00°, β = 90.00°, γ = 90.00°
Element x y z (fractional)
Ru 0.0000 0.0000 0.0000
Zn 0.0000 0.5000 0.0000
Zn 0.0000 0.0000 0.5000
Zn 0.5000 0.0000 0.0000
Sr 0.5000 0.5000 0.5000

No. 4
The following is a GGA-PBEsol calculation of a relaxed SrZnRu crystal, from Alexandria via LeMat-Bulk.

Results
Total DFT energy (no corrections) = -3.9045 eV per atom
SG = F-43m
DOS(E_F) = 1.97 states/eV/cell

a = 4.5164 Å, b = 4.5164 Å, c = 4.5164 Å
α = 60.00°, β = 60.00°, γ = 60.00°
Element x y z (fractional)
Ru 0.2500 0.2500 0.2500
Sr 0.0000 0.0000 0.0000
Zn 0.5000 0.5000 0.5000

No. 5
The following is a GGA-PBEsol calculation of a relaxed SrZnRu crystal, from Alexandria via LeMat-Bulk.

Results
Total DFT energy (no corrections) = -4.3442 eV per atom
SG = I4mm
DOS(E_F) = 1.48 states/eV/cell

a = 3.4224 Å, b = 3.4224 Å, c = 5.7222 Å
α = 107.40°, β = 107.40°, γ = 90.00°
Element x y z (fractional)
Ru 0.9527 0.9527 0.9053
Sr 0.6631 0.6631 0.3263
Zn 0.3842 0.3842 0.7684

No. 6
The following is a GGA-PBEsol calculation of a relaxed Sr4ZrRu crystal, from Alexandria via LeMat-Bulk.

Results
Total DFT energy (no corrections) = -3.0707 eV per atom
SG = F-43m
DOS(E_F) = 10.02 states/eV/cell

a = 6.4827 Å, b = 6.4827 Å, c = 6.4827 Å
α = 60.00°, β = 60.00°, γ = 60.00°
Element x y z (fractional)
Ru 0.0000 0.0000 0.0000
Sr 0.3744 0.3744 0.3744
Sr 0.3744 0.3744 0.8768
Sr 0.8768 0.3744 0.3744
Sr 0.3744 0.8768 0.3744
Zr 0.7500 0.7500 0.7500

No. 7
The following is a GGA-PBEsol calculation of a relaxed SrZrRu3 crystal, from Alexandria via LeMat-Bulk.

Results
Total DFT energy (no corrections) = -6.1188 eV per atom
SG = Pm-3m
DOS(E_F) = 5.24 states/eV/cell

a = 4.6459 Å, b = 4.6459 Å, c = 4.6459 Å
α = 90.00°, β = 90.00°, γ = 90.00°
Element x y z (fractional)
Ru 0.0000 0.5000 0.0000
Ru 0.0000 0.0000 0.5000
Ru 0.5000 0.0000 0.0000
Zr 0.5000 0.5000 0.5000
Sr 0.0000 0.0000 0.0000

No. 8
The following is a GGA-PBEsol calculation of a relaxed TaRu3 crystal, from Alexandria via LeMat-Bulk.

Results
Total DFT energy (no corrections) = -10.9403 eV per atom
SG = Pm-3m
DOS(E_F) = 4.54 states/eV/cell

a = 3.8515 Å, b = 3.8515 Å, c = 3.8515 Å
α = 90.00°, β = 90.00°, γ = 90.00°
Element x y z (fractional)
Ru 0.0000 0.0000 0.5000
Ru 0.0000 0.5000 0.0000
Ru 0.5000 0.0000 0.0000
Ta 0.5000 0.5000 0.5000

No. 9
The following is a GGA-PBEsol calculation of a relaxed Ta3Ru crystal, from Alexandria via LeMat-Bulk.

Results
Total DFT energy (no corrections) = -12.1942 eV per atom
SG = Immm
DOS(E_F) = 1.95 states/eV/cell

a = 3.1822 Å, b = 4.5200 Å, c = 5.3414 Å
α = 115.03°, β = 107.33°, γ = 90.00°
Element x y z (fractional)
Ru 0.0000 0.0000 0.0000
Ta 0.7446 0.2446 0.4892
Ta 0.5000 0.5000 0.0000
Ta 0.2554 0.7554 0.5108

No. 10
The following is a GGA-PBEsol calculation of a relaxed TaRu7 crystal, from Alexandria via LeMat-Bulk.

Results
Total DFT energy (no corrections) = -10.4879 eV per atom
SG = Fm-3m
DOS(E_F) = 7.37 states/eV/cell

a = 5.3851 Å, b = 5.3851 Å, c = 5.3851 Å
α = 60.00°, β = 60.00°, γ = 60.00°
Element x y z (fractional)
Ru 0.0000 0.5000 0.5000
Ru 0.0000 0.5000 0.0000
Ru 0.0000 0.0000 0.5000
Ru 0.5000 0.5000 0.0000
Ru 0.5000 0.0000 0.5000
Ru 0.5000 0.0000 0.0000
Ru 0.5000 0.5000 0.5000
Ta 0.0000 0.0000 0.0000

No. 11
The following is a GGA-PBEsol calculation of a relaxed TaRu3 crystal, from Alexandria via LeMat-Bulk.

Results
Total DFT energy (no corrections) = -10.6302 eV per atom
SG = P4/mmm
DOS(E_F) = 5.30 states/eV/cell

a = 3.2333 Å, b = 3.2333 Å, c = 5.5922 Å
α = 90.00°, β = 90.00°, γ = 90.00°
Element x y z (fractional)
Ru 0.0000 0.0000 0.7595
Ru 0.0000 0.0000 0.2405
Ru 0.5000 0.5000 0.0000
Ta 0.5000 0.5000 0.5000

No. 12
The following is a GGA-PBEsol calculation of a relaxed TaRu3 crystal, from Alexandria via LeMat-Bulk.

Results
Total DFT energy (no corrections) = -10.9114 eV per atom
SG = Imm2
DOS(E_F) = 2.66 states/eV/cell

a = 2.7611 Å, b = 4.7427 Å, c = 5.1544 Å
α = 117.39°, β = 105.54°, γ = 90.00°
Element x y z (fractional)
Ru 0.7528 0.7555 0.5056
Ru 0.2472 0.2499 0.4944
Ru 0.5000 0.8327 0.0000
Ta 0.0000 0.3285 0.0000

No. 13
The following is a GGA-PBEsol calculation of a relaxed Ta3Ru crystal, from Alexandria via LeMat-Bulk.

Results
Total DFT energy (no corrections) = -12.1700 eV per atom
SG = Fm-3m
DOS(E_F) = 2.10 states/eV/cell

a = 4.5174 Å, b = 4.5174 Å, c = 4.5174 Å
α = 60.00°, β = 60.00°, γ = 60.00°
Element x y z (fractional)
Ru 0.0000 0.0000 0.0000
Ta 0.7500 0.7500 0.7500
Ta 0.5000 0.5000 0.5000
Ta 0.2500 0.2500 0.2500

No. 14
The following is a GGA-PBEsol calculation of a relaxed TaRu3 crystal, from Alexandria via LeMat-Bulk.

Results
Total DFT energy (no corrections) = -10.9010 eV per atom
SG = Pnma
DOS(E_F) = 11.28 states/eV/cell

a = 4.8049 Å, b = 5.4571 Å, c = 8.7502 Å
α = 90.00°, β = 90.00°, γ = 90.00°
Element x y z (fractional)
Ru 0.0870 0.1150 0.7500
Ru 0.7341 0.6320 0.0057
Ru 0.7341 0.6320 0.4943
Ru 0.7659 0.1320 0.5057
Ru 0.7659 0.1320 0.9943
Ru 0.4130 0.6150 0.2500
Ru 0.5870 0.3850 0.7500
Ru 0.2341 0.8680 0.0057
Ru 0.2341 0.8680 0.4943
Ru 0.2659 0.3680 0.5057
Ru 0.2659 0.3680 0.9943
Ru 0.9130 0.8850 0.2500
Ta 0.9174 0.3905 0.2500
Ta 0.5826 0.8905 0.7500
Ta 0.4174 0.1095 0.2500
Ta 0.0826 0.6095 0.7500

No. 15
The following is a GGA-PBEsol calculation of a relaxed Ta3Ru2 crystal, from Alexandria via LeMat-Bulk.

Results
Total DFT energy (no corrections) = -11.8558 eV per atom
SG = P4/mmm
DOS(E_F) = 9.46 states/eV/cell

a = 3.1858 Å, b = 3.1858 Å, c = 15.6313 Å
α = 90.00°, β = 90.00°, γ = 90.00°
Element x y z (fractional)
Ta 0.0000 0.0000 0.8952
Ta 0.0000 0.0000 0.1048
Ta 0.0000 0.0000 0.3048
Ta 0.0000 0.0000 0.5000
Ta 0.0000 0.0000 0.6952
Ta 0.5000 0.5000 0.0000
Ru 0.5000 0.5000 0.2086
Ru 0.5000 0.5000 0.4026
Ru 0.5000 0.5000 0.5974
Ru 0.5000 0.5000 0.7914

No. 16
The following is a GGA-PBEsol calculation of a relaxed Ta3Ru2 crystal, from Alexandria via LeMat-Bulk.

Results
Total DFT energy (no corrections) = -11.5846 eV per atom
SG = R-3m
DOS(E_F) = 3.79 states/eV/cell

a = 2.9754 Å, b = 2.9754 Å, c = 10.7514 Å
α = 82.05°, β = 82.05°, γ = 60.00°
Element x y z (fractional)
Ru 0.6015 0.6015 0.1955
Ru 0.3985 0.3985 0.8045
Ta 0.0000 0.0000 0.0000
Ta 0.7972 0.7972 0.6084
Ta 0.2028 0.2028 0.3916

No. 17
The following is a GGA-PBEsol calculation of a relaxed TaRu3 crystal, from Alexandria via LeMat-Bulk.

Results
Total DFT energy (no corrections) = -10.9234 eV per atom
SG = I4/mmm
DOS(E_F) = 8.70 states/eV/cell

a = 3.8415 Å, b = 3.8415 Å, c = 8.2224 Å
α = 103.51°, β = 103.51°, γ = 90.00°
Element x y z (fractional)
Ru 0.5000 0.0000 0.0000
Ru 0.8721 0.8721 0.7441
Ru 0.1279 0.1279 0.2559
Ru 0.2500 0.7500 0.5000
Ru 0.7500 0.2500 0.5000
Ru 0.0000 0.5000 0.0000
Ta 0.6202 0.6202 0.2404
Ta 0.3798 0.3798 0.7596

No. 18
The following is a GGA-PBEsol calculation of a relaxed Ta8Ru crystal, from Alexandria via LeMat-Bulk.

Results
Total DFT energy (no corrections) = -12.4157 eV per atom
SG = I4/mmm
DOS(E_F) = 9.38 states/eV/cell

a = 3.2328 Å, b = 7.0789 Å, c = 7.0789 Å
α = 87.01°, β = 76.80°, γ = 76.80°
Element x y z (fractional)
Ru 0.0000 0.0000 0.0000
Ta 0.0000 0.6672 0.3328
Ta 0.0000 0.3328 0.6672
Ta 0.3328 0.6672 0.6672
Ta 0.3368 0.3264 0.0000
Ta 0.3368 0.0000 0.3264
Ta 0.6672 0.3328 0.3328
Ta 0.6632 0.0000 0.6736
Ta 0.6632 0.6736 0.0000

No. 19
The following is a GGA-PBEsol calculation of a relaxed TaRu3 crystal, from Alexandria via LeMat-Bulk.

Results
Total DFT energy (no corrections) = -10.8316 eV per atom
SG = Cmmm
DOS(E_F) = 4.23 states/eV/cell

a = 2.7700 Å, b = 4.6721 Å, c = 4.6721 Å
α = 108.45°, β = 90.00°, γ = 90.00°
Element x y z (fractional)
Ru 0.0000 0.0000 0.0000
Ru 0.5000 0.0000 0.5000
Ru 0.5000 0.5000 0.0000
Ta 0.0000 0.5000 0.5000

No. 20
The following is a GGA-PBEsol calculation of a relaxed Ta3Ru crystal, from Alexandria via LeMat-Bulk.

Results
Total DFT energy (no corrections) = -12.1289 eV per atom
SG = R-3m
DOS(E_F) = 2.25 states/eV/cell

a = 2.8706 Å, b = 5.2283 Å, c = 5.2283 Å
α = 116.73°, β = 100.55°, γ = 100.55°
Element x y z (fractional)
Ru 0.0000 0.0000 0.0000
Ta 0.5000 0.5000 0.0000
Ta 0.0000 0.5000 0.5000
Ta 0.5000 0.0000 0.5000